An optimized crystal structure of LaMn2Cr. Source: Alexandria via LeMat-Bulk, functional GGA-PBE.

POSCAR file:
```
LaMn2Cr
1.0
-5.819 6.909 1.952
-7.853 4.679 1.358
-6.618 4.927 4.164
Cr La Mn
1 1 2
Cartesian
-10.531 8.572 3.879
-15.218 12.387 5.605
-19.928 16.221 7.340
-5.047 4.108 1.859
```

DFT formation energy: 0.68 eV/atom
SG: R3m, No. 160
excess energy over the best structure of this formula in the dataset: 431.9 meV per atom
size of the total moment: 3.48 μB per formula unit

An optimized crystal structure of LaMn2Cr2. Source: Alexandria via LeMat-Bulk, functional GGA-PBE.

POSCAR file:
```
LaMn2Cr2
1.0
4.025 0.000 0.000
0.000 4.025 0.000
2.013 2.013 4.945
Cr Mn La
2 2 1
Cartesian
2.013 2.013 1.340
4.025 4.025 3.605
4.025 2.013 2.472
2.013 4.025 2.472
0.000 0.000 0.000
```

DFT formation energy: 0.29 eV/atom
SG: I4/mmm, No. 139
size of the total moment: 0.11 μB per formula unit

An optimized crystal structure of LaMnCr2. Source: Alexandria via LeMat-Bulk, functional GGA-PBE.

POSCAR file:
```
LaMnCr2
1.0
9.250 -0.052 -0.031
8.758 2.978 -0.031
8.758 1.423 2.616
Cr La Mn
2 1 1
Cartesian
0.488 0.079 0.047
12.894 2.095 1.231
6.691 1.087 0.639
20.074 3.261 1.916
```

DFT formation energy: 0.75 eV/atom
SG: R-3m, No. 166
excess energy over the best structure of this formula in the dataset: 415.9 meV per atom
size of the total moment: 3.20 μB per formula unit

An optimized crystal structure of LaMnCr2. Source: Alexandria via LeMat-Bulk, functional GGA-PBE.

POSCAR file:
```
LaMnCr2
1.0
4.738 0.000 0.000
0.000 4.738 0.000
0.000 0.000 3.258
Cr La Mn
2 1 1
Cartesian
0.000 0.000 0.000
2.369 2.369 0.000
2.369 0.000 1.629
0.000 2.369 1.629
```

DFT formation energy: 0.68 eV/atom
SG: P4/mmm, No. 123
excess energy over the best structure of this formula in the dataset: 342.1 meV per atom
size of the total moment: 1.80 μB per formula unit

An optimized crystal structure of LaMnCr4. Source: Alexandria via LeMat-Bulk, functional GGA-PBE.

POSCAR file:
```
LaMnCr4
1.0
0.000 3.575 3.575
3.575 0.000 3.575
3.575 3.575 0.000
La Mn Cr
1 1 4
Cartesian
5.363 5.363 5.363
0.000 0.000 0.000
2.673 4.477 4.477
4.477 4.477 2.673
4.477 2.673 4.477
2.673 2.673 2.673
```

DFT formation energy: 0.57 eV/atom
SG: F-43m, No. 216
size of the total moment: 2.19 μB per formula unit

An optimized crystal structure of LaMnCr2. Source: Alexandria via LeMat-Bulk, functional GGA-PBE.

POSCAR file:
```
LaMnCr2
1.0
-0.892 -0.793 -3.246
1.555 -2.432 0.167
-4.507 -4.866 2.427
Cr La Mn
2 1 1
Cartesian
-3.991 -4.477 2.190
-1.992 -4.038 1.534
-1.184 -2.221 -0.974
-2.660 -5.870 0.322
```

DFT formation energy: 0.52 eV/atom
SG: P2/m, No. 10
excess energy over the best structure of this formula in the dataset: 185.4 meV per atom
size of the total moment: 0.00 μB per formula unit

An optimized crystal structure of La2MnCr. Source: Alexandria via LeMat-Bulk, functional GGA-PBE.

POSCAR file:
```
La2MnCr
1.0
5.136 0.000 0.000
2.568 4.448 0.000
2.568 1.483 4.194
Cr La Mn
1 2 1
Cartesian
5.136 2.965 2.097
0.000 0.000 0.000
7.704 4.448 3.145
2.568 1.483 1.048
```

DFT formation energy: 0.48 eV/atom
SG: F-43m, No. 216
excess energy over the best structure of this formula in the dataset: 228.3 meV per atom
size of the total moment: 0.82 μB per formula unit

An optimized crystal structure of La2MnCr. Source: Alexandria via LeMat-Bulk, functional GGA-PBE.

POSCAR file:
```
La2MnCr
1.0
-3.251 -3.179 6.847
-1.389 -6.157 5.265
0.543 -3.580 7.379
Cr La Mn
1 2 1
Cartesian
-3.215 -10.136 15.296
-0.133 -0.420 0.633
-0.886 -2.794 4.216
-1.911 -6.026 9.093
```

DFT formation energy: 0.25 eV/atom
SG: R3m, No. 160
excess energy over the best structure of this formula in the dataset: 0.0 meV per atom
size of the total moment: 0.50 μB per formula unit

Question: The lowest size of the total moment belongs to which entry?
Answer: number 6

Question: size of the total moment of number 3 (LaMnCr2)?
Answer: 3.20 μB per formula unit